VASP calculation (PBE-GGA) on a relaxed LaAl4Ag4 crystal.

## Properties
Magnetization in μB/cell: 0.0
Total DFT energy (no corrections) in eV per atom: -3.6415
Crystal system: tetragonal

a = 6.633 Å, b = 6.633 Å, c = 6.633 Å
α = 97.14°, β = 97.14°, γ = 138.71°
Atoms (fractional coordinates):
La  0.000  0.000  0.000
Al  0.092  0.620  0.712
Al  0.380  0.092  0.472
Al  0.620  0.908  0.528
Al  0.908  0.380  0.288
Ag  0.262  0.364  0.627
Ag  0.364  0.738  0.102
Ag  0.636  0.262  0.898
Ag  0.738  0.636  0.373